Entry 1:
The following is a GGA-PBE calculation of a relaxed structure of ScTlPd14, from Alexandria.

Unit cell a=5.698 b=5.698 c=7.884 alpha=90.00 beta=90.00 gamma=90.00
Element x y z (fractional)
Sc 0.000 0.000 0.000
Tl 0.500 0.500 0.000
Pd 0.000 0.000 0.500
Pd 0.000 0.500 0.000
Pd 0.000 0.500 0.500
Pd 0.247 0.247 0.253
Pd 0.247 0.247 0.747
Pd 0.247 0.753 0.253
Pd 0.247 0.753 0.747
Pd 0.500 0.000 0.000
Pd 0.500 0.000 0.500
Pd 0.500 0.500 0.500
Pd 0.753 0.247 0.253
Pd 0.753 0.247 0.747
Pd 0.753 0.753 0.253
Pd 0.753 0.753 0.747

Formation energy from the elements = -0.245 eV per atom
Calculated volume = 16.0 Å³ per atom
Density of states at the Fermi level = 27.30 states/eV/cell
Total magnetic moment = 0.002 Bohr magnetons per cell

***

Entry 2:
The following is a GGA-PBE calculation of a relaxed structure of Sc4TlPd12, from Alexandria.

Unit cell a=7.286 b=7.286 c=7.286 alpha=109.47 beta=109.47 gamma=109.47
Element x y z (fractional)
Sc 0.000 0.000 0.500
Sc 0.000 0.500 0.000
Sc 0.500 0.000 0.000
Sc 0.500 0.500 0.500
Tl 0.000 0.000 0.000
Pd 0.000 0.302 0.302
Pd 0.000 0.698 0.698
Pd 0.250 0.500 0.750
Pd 0.250 0.750 0.500
Pd 0.302 0.000 0.302
Pd 0.302 0.302 0.000
Pd 0.500 0.250 0.750
Pd 0.500 0.750 0.250
Pd 0.698 0.000 0.698
Pd 0.698 0.698 0.000
Pd 0.750 0.250 0.500
Pd 0.750 0.500 0.250

Formation energy from the elements = -0.614 eV per atom
Calculated volume = 17.5 Å³ per atom
Density of states at the Fermi level = 5.55 states/eV/cell
Total magnetic moment = 0.000 Bohr magnetons per cell

***

Entry 3:
The following is a GGA-PBE calculation of a relaxed structure of ScTl2Pd2, from Alexandria.

Unit cell a=7.057 b=7.057 c=4.213 alpha=90.00 beta=90.00 gamma=90.00
Element x y z (fractional)
Sc 0.000 0.000 0.000
Sc 0.500 0.500 0.000
Tl 0.171 0.329 0.500
Tl 0.329 0.829 0.500
Tl 0.671 0.171 0.500
Tl 0.829 0.671 0.500
Pd 0.137 0.637 0.000
Pd 0.363 0.137 0.000
Pd 0.637 0.863 0.000
Pd 0.863 0.363 0.000

Formation energy from the elements = -0.283 eV per atom
Calculated volume = 21.0 Å³ per atom
Density of states at the Fermi level = 7.30 states/eV/cell
Total magnetic moment = 0.000 Bohr magnetons per cell
Energy above the most stable polymorph in this dataset = 0.0 meV/atom

***

Entry 4:
The following is a GGA-PBE calculation of a relaxed structure of ScTlPd4, from Alexandria.

Unit cell a=5.094 b=5.094 c=6.048 alpha=109.53 beta=109.53 gamma=44.85
Element x y z (fractional)
Sc 0.000 0.000 0.000
Tl 0.000 0.000 0.500
Pd 0.333 0.333 0.163
Pd 0.337 0.337 0.681
Pd 0.663 0.663 0.319
Pd 0.667 0.667 0.837

Formation energy from the elements = -0.534 eV per atom
Calculated volume = 17.2 Å³ per atom
Density of states at the Fermi level = 1.76 states/eV/cell
Total magnetic moment = 0.000 Bohr magnetons per cell

***

Entry 5:
The following is a GGA-PBE calculation of a relaxed structure of ScTl3Pd, from Alexandria.

Unit cell a=5.537 b=5.537 c=5.537 alpha=90.00 beta=90.00 gamma=90.00
Element x y z (fractional)
Sc 0.000 0.000 0.000
Tl 0.000 0.000 0.500
Tl 0.000 0.500 0.000
Tl 0.500 0.000 0.000
Pd 0.500 0.500 0.500

Formation energy from the elements = 0.730 eV per atom
Calculated volume = 34.0 Å³ per atom
Density of states at the Fermi level = 5.13 states/eV/cell
Total magnetic moment = 0.521 Bohr magnetons per cell
Energy above the most stable polymorph in this dataset = 489.1 meV/atom

***

Entry 6:
The following is a GGA-PBE calculation of a relaxed structure of ScTl4Pd15, from Alexandria.

Unit cell a=4.052 b=4.052 c=20.548 alpha=90.00 beta=90.00 gamma=90.00
Element x y z (fractional)
Sc 0.000 0.000 0.000
Tl 0.000 0.000 0.198
Tl 0.000 0.000 0.399
Tl 0.000 0.000 0.601
Tl 0.000 0.000 0.802
Pd 0.000 0.500 0.096
Pd 0.000 0.500 0.298
Pd 0.000 0.500 0.500
Pd 0.000 0.500 0.702
Pd 0.000 0.500 0.904
Pd 0.500 0.000 0.096
Pd 0.500 0.000 0.298
Pd 0.500 0.000 0.500
Pd 0.500 0.000 0.702
Pd 0.500 0.000 0.904
Pd 0.500 0.500 0.000
Pd 0.500 0.500 0.196
Pd 0.500 0.500 0.399
Pd 0.500 0.500 0.601
Pd 0.500 0.500 0.804

Formation energy from the elements = -0.321 eV per atom
Calculated volume = 16.9 Å³ per atom
Density of states at the Fermi level = 21.19 states/eV/cell
Total magnetic moment = 0.000 Bohr magnetons per cell

***

Entry 7:
The following is a GGA-PBE calculation of a relaxed structure of Sc2Tl2Pd, from Alexandria.

Unit cell a=7.293 b=7.293 c=4.221 alpha=90.00 beta=90.00 gamma=90.00
Element x y z (fractional)
Sc 0.163 0.337 0.000
Sc 0.337 0.837 0.000
Sc 0.663 0.163 0.000
Sc 0.837 0.663 0.000
Tl 0.144 0.644 0.500
Tl 0.356 0.144 0.500
Tl 0.644 0.856 0.500
Tl 0.856 0.356 0.500
Pd 0.000 0.000 0.500
Pd 0.500 0.500 0.500

Formation energy from the elements = -0.277 eV per atom
Calculated volume = 22.4 Å³ per atom
Density of states at the Fermi level = 8.06 states/eV/cell
Total magnetic moment = 0.000 Bohr magnetons per cell
Energy above the most stable polymorph in this dataset = 94.9 meV/atom

***

Entry 8:
The following is a GGA-PBE calculation of a relaxed structure of Sc5Tl4Pd, from Alexandria.

Unit cell a=3.374 b=3.374 c=19.615 alpha=90.00 beta=90.00 gamma=90.00
Element x y z (fractional)
Sc 0.000 0.000 0.000
Sc 0.000 0.000 0.209
Sc 0.000 0.000 0.418
Sc 0.000 0.000 0.582
Sc 0.000 0.000 0.791
Tl 0.500 0.500 0.105
Tl 0.500 0.500 0.313
Tl 0.500 0.500 0.687
Tl 0.500 0.500 0.895
Pd 0.500 0.500 0.500

Formation energy from the elements = -0.395 eV per atom
Calculated volume = 22.3 Å³ per atom
Density of states at the Fermi level = 5.20 states/eV/cell
Total magnetic moment = 0.586 Bohr magnetons per cell